An optimized crystal structure of Th2TeW, computed with PBE.

The structure in POSCAR format:
```
Th2TeW
1.0
-2.390 0.927 2.571
-3.407 -1.246 -0.154
0.777 -8.183 6.236
Te W Th
1 1 2
Direct
0.500 0.500 0.500
0.000 0.000 0.000
0.087 0.087 0.740
0.913 0.913 0.260
```

Total DFT energy (no corrections) ... -7.130 eV/atom
Uncorrected formation energy ... 0.6032 eV per atom
Magnetization ... 0.000 μB per formula unit